1.
CsLaGa2Pb after structural relaxation. Source: Alexandria, functional GGA-PBE.

abc: 5.7643 5.7643 6.1850
angles: 90.00 90.00 90.00
Closest atoms and distances in Å follow each position.
Fractional positions:
Cs 0.0000 0.0000 0.0000  4 La 4.08, 8 Ga 4.23
La 0.5000 0.5000 0.0000  2 Pb 3.09
Ga 0.0000 0.5000 0.5000  2 Pb 2.88
Ga 0.5000 0.0000 0.5000  2 Pb 2.88
Pb 0.5000 0.5000 0.5000  4 Ga 2.88, 2 La 3.09

Computed properties:
- Calculated density: 5.00 Mg/m³
- Uncorrected energy: -13.7 eV per formula unit
- Space-group type: No. 123

***

2.
AcZnReO6 after structural relaxation. Source: Alexandria, functional GGA-PBE.

abc: 5.3464 5.3464 5.2713
angles: 90.00 90.00 120.00
Closest atoms and distances in Å follow each position.
Fractional positions:
Ac 0.0000 0.0000 0.0000  6 O 2.53
Zn 0.6667 0.3333 0.5000  6 O 2.11
Re 0.3333 0.6667 0.5000  6 O 1.90
O 0.0291 0.3900 0.2924  1 Re 1.90, 1 Zn 2.11
O 0.0291 0.6391 0.7076  1 Re 1.90, 1 Zn 2.11
O 0.3609 0.3900 0.7076  1 Re 1.90, 1 Zn 2.11
O 0.3609 0.9709 0.2924  1 Re 1.90, 1 Zn 2.11
O 0.6100 0.6391 0.2924  1 Re 1.90, 1 Zn 2.11
O 0.6100 0.9709 0.7076  1 Re 1.90, 1 Zn 2.11

Computed properties:
- Calculated density: 7.31 Mg/m³
- ΔE_f (raw): -2.0669 eV/atom
- Space-group type: No. 149